Record 1
VASP calculation (PBE) on LaCeY14 after structural relaxation.

Properties
Energy of formation, eV/atom: 0.04
DFT total energy, eV per atom: -6.295

```
LaCeY14
1.0
-3.486 4.656 4.212
-6.108 -3.631 -1.040
2.055 -5.772 8.083
Y Ce La
14 1 1
direct
0.875 0.625 0.000 Y
0.127 0.873 0.749 Y
0.623 0.873 0.251 Y
0.127 0.377 0.251 Y
0.375 0.125 0.000 Y
0.875 0.625 0.500 Y
0.375 0.125 0.500 Y
0.127 0.377 0.749 Y
0.623 0.377 0.749 Y
0.875 0.125 0.500 Y
0.127 0.873 0.251 Y
0.623 0.873 0.749 Y
0.375 0.625 0.500 Y
0.623 0.377 0.251 Y
0.375 0.625 0.000 Ce
0.875 0.125 0.000 La
```

Record 2
VASP calculation (PBE) on La6CeY2 after structural relaxation.

Properties
Energy of formation, eV/atom: 0.08
DFT total energy, eV per atom: -5.306

```
La6CeY2
1.0
1.830 -3.169 0.000
1.830 3.169 0.000
0.000 0.000 27.572
La Y Ce
6 2 1
direct
0.000 0.000 0.221 La
0.333 0.667 0.104 La
0.000 0.000 0.434 La
0.000 0.000 0.779 La
0.333 0.667 0.896 La
0.000 0.000 0.566 La
0.333 0.667 0.328 Y
0.333 0.667 0.672 Y
0.000 0.000 0.000 Ce
```

Record 3
VASP calculation (PBE) on LaCe2Y after structural relaxation.

Properties
Energy of formation, eV/atom: 0.27
DFT total energy, eV per atom: -5.542

```
LaCe2Y
1.0
-0.380 -4.626 3.369
-2.260 -4.859 -2.044
3.365 -4.541 -0.974
Ce Y La
2 1 1
direct
0.250 0.250 0.250 Ce
0.750 0.750 0.750 Ce
0.500 0.500 0.500 Y
0.000 0.000 0.000 La
```

- Among the records above, which one has the lowest energy of formation?
  LaCeY14

Copy entry 1 word for word.
VASP calculation (PBE) on LaCeY14 after structural relaxation.

Properties
Energy of formation, eV/atom: 0.04
DFT total energy, eV per atom: -6.295

```
LaCeY14
1.0
-3.486 4.656 4.212
-6.108 -3.631 -1.040
2.055 -5.772 8.083
Y Ce La
14 1 1
direct
0.875 0.625 0.000 Y
0.127 0.873 0.749 Y
0.623 0.873 0.251 Y
0.127 0.377 0.251 Y
0.375 0.125 0.000 Y
0.875 0.625 0.500 Y
0.375 0.125 0.500 Y
0.127 0.377 0.749 Y
0.623 0.377 0.749 Y
0.875 0.125 0.500 Y
0.127 0.873 0.251 Y
0.623 0.873 0.749 Y
0.375 0.625 0.500 Y
0.623 0.377 0.251 Y
0.375 0.625 0.000 Ce
0.875 0.125 0.000 La
```